[1]
The following is a DFT calculation (GGA-PBE) of crystalline TbBPO at its relaxed geometry.

Raw total energy = -6.37 eV/atom
Offset from the most stable computed form = 497.7 meV per atom
ρ = 6.0 g/cm3

Unit cell a=3.7863 b=5.3958 c=5.8632 alpha=90.00 beta=90.00 gamma=90.00
Last column: nearest neighbours and their distance in Å.
Element x y z (fractional)
Tb: 0.0000 0.2212 0.0000  2 O 2.13-2.20
Tb: 0.0000 0.7788 0.5000  2 O 2.13-2.20
B: 0.5000 0.3168 0.3477  2 P 1.94, 2 O 2.08
B: 0.5000 0.6832 0.8477  2 P 1.94, 2 O 2.08
P: 0.5000 0.3771 0.6732  2 B 1.94
P: 0.5000 0.6229 0.1732  2 B 1.94
O: 0.0000 0.1553 0.3576  2 B 2.08, 2 Tb 2.13-2.20
O: 0.0000 0.8447 0.8576  2 B 2.08, 2 Tb 2.13-2.20

=====

[2]
The following is a DFT calculation (GGA-PBE) of crystalline RbHoTeSe at its relaxed geometry.

Raw total energy = -4.59 eV/atom
ρ = 5.6 g/cm3

Unit cell a=8.6515 b=8.6515 c=8.6515 alpha=29.14 beta=29.14 gamma=29.14
Last column: nearest neighbours and their distance in Å.
Element x y z (fractional)
Rb: 0.0000 0.0000 0.0000  3 Se 3.49, 3 Te 3.61
Ho: 0.5095 0.5095 0.5095  3 Se 2.91, 3 Te 3.08
Te: 0.7709 0.7709 0.7709  3 Ho 3.08
Se: 0.2356 0.2356 0.2356  3 Ho 2.91

=====

[3]
The following is a DFT calculation (GGA-PBE) of crystalline PaNi4As2 at its relaxed geometry.

Raw total energy = -6.44 eV/atom
ρ = 10.2 g/cm3

Unit cell a=7.2072 b=7.2072 c=3.8524 alpha=90.00 beta=90.00 gamma=90.00
Last column: nearest neighbours and their distance in Å.
Element x y z (fractional)
Pa: 0.0000 0.0000 0.0000  6 As 2.89-2.93, 12 Ni 3.12-3.23
Pa: 0.5000 0.5000 0.5000  6 As 2.89-2.93, 12 Ni 3.12-3.23
Ni: 0.0941 0.3479 0.5000  3 As 2.41-2.43, 6 Ni 2.58-2.65
Ni: 0.1521 0.5941 0.0000  3 As 2.41-2.43, 6 Ni 2.58-2.65
Ni: 0.3479 0.0941 0.5000  3 As 2.41-2.43, 6 Ni 2.58-2.65
Ni: 0.4059 0.8479 0.0000  3 As 2.41-2.43, 6 Ni 2.58-2.65
Ni: 0.5941 0.1521 0.0000  3 As 2.41-2.43, 6 Ni 2.58-2.65
Ni: 0.6521 0.9059 0.5000  3 As 2.41-2.43, 6 Ni 2.58-2.65
Ni: 0.8479 0.4059 0.0000  3 As 2.41-2.43, 6 Ni 2.58-2.65
Ni: 0.9059 0.6521 0.5000  3 As 2.41-2.43, 6 Ni 2.58-2.65
As: 0.2165 0.7835 0.5000  6 Ni 2.41-2.43
As: 0.2835 0.2835 0.0000  6 Ni 2.41-2.43
As: 0.7165 0.7165 0.0000  6 Ni 2.41-2.43
As: 0.7835 0.2165 0.5000  6 Ni 2.41-2.43